1.
In3TeN after structural relaxation. Source: Alexandria via LeMat-Bulk, functional PBE-GGA. Values from VASP.

```
&SYSTEM
  ibrav = 0, nat = 5, ntyp = 3
/
ATOMIC_SPECIES
In 114.82 In.upf
Te 127.60 Te.upf
N 14.01 N.upf
ATOMIC_POSITIONS angstrom
In -1.221 2.145 0.083
In -1.359 -0.847 1.880
In 1.661 0.884 1.599
Te -0.919 2.181 3.562
N 0.000 0.000 0.000
CELL_PARAMETERS angstrom
-2.442 4.289 0.167
-2.718 -1.694 3.759
3.322 1.767 3.199
```

**Calculated total energy**: -18.2 eV per cell
**Total magnetization**: 0.00 μB/f.u.
**Relative energy among the computed polymorphs**: 0.00 eV per formula unit



2.
InTe2N after structural relaxation. Source: Alexandria via LeMat-Bulk, functional PBE-GGA. Values from VASP.

```
&SYSTEM
  ibrav = 0, nat = 4, ntyp = 3
/
ATOMIC_SPECIES
Te 127.60 Te.upf
In 114.82 In.upf
N 14.01 N.upf
ATOMIC_POSITIONS angstrom
Te -0.768 1.616 0.734
Te -10.706 22.523 10.226
In -5.737 12.069 5.480
N 0.000 0.000 0.000
CELL_PARAMETERS angstrom
-4.602 6.980 5.187
-1.976 8.851 3.816
-4.896 8.307 1.957
```

**Calculated total energy**: -14.4 eV per cell
**Total magnetization**: 0.00 μB/f.u.
**Relative energy among the computed polymorphs**: 0.67 eV per formula unit



3.
InTe2N after structural relaxation. Source: Alexandria via LeMat-Bulk, functional PBE-GGA. Values from VASP.

```
&SYSTEM
  ibrav = 0, nat = 4, ntyp = 3
/
ATOMIC_SPECIES
Te 127.60 Te.upf
In 114.82 In.upf
N 14.01 N.upf
ATOMIC_POSITIONS angstrom
Te -2.536 -8.698 -1.160
Te -0.845 -2.899 -0.387
In -1.691 -5.799 -0.773
N 0.000 0.000 0.000
CELL_PARAMETERS angstrom
0.232 -4.585 1.908
-3.885 -3.073 -0.433
0.271 -3.939 -3.021
```

**Calculated total energy**: -12.4 eV per cell
**Total magnetization**: 0.00 μB/f.u.
**Relative energy among the computed polymorphs**: 2.72 eV per formula unit



4.
InTe2N after structural relaxation. Source: Alexandria via LeMat-Bulk, functional PBE-GGA. Values from VASP.

```
&SYSTEM
  ibrav = 0, nat = 8, ntyp = 3
/
ATOMIC_SPECIES
Te 127.60 Te.upf
N 14.01 N.upf
In 114.82 In.upf
ATOMIC_POSITIONS angstrom
Te -4.893 -1.801 -6.471
Te -6.389 -0.289 -9.103
Te -3.157 0.979 -2.840
Te -1.355 -0.940 -4.967
N -2.598 -1.936 -6.633
N -1.126 1.103 -3.923
In -5.299 0.910 -5.058
In 0.000 0.000 0.000
CELL_PARAMETERS angstrom
-3.828 3.948 -2.348
1.575 -1.743 -5.499
-5.645 -3.230 -3.844
```

**Calculated total energy**: -30.1 eV per cell
**Total magnetization**: 0.00 μB/f.u.
**Relative energy among the computed polymorphs**: 0.00 eV per formula unit



5.
ThInTe2N after structural relaxation. Source: Alexandria via LeMat-Bulk, functional PBE-GGA. Values from VASP.

```
&SYSTEM
  ibrav = 0, nat = 10, ntyp = 4
/
ATOMIC_SPECIES
Te 127.60 Te.upf
Th 232.04 Th.upf
N 14.01 N.upf
In 114.82 In.upf
ATOMIC_POSITIONS angstrom
Te -4.307 -2.282 3.076
Te -9.919 -4.439 10.922
Te -5.379 -4.179 9.471
Te 0.233 -2.022 1.624
Th -2.992 -3.261 6.133
Th -6.694 -3.200 6.414
N -4.898 -4.620 5.852
N -4.788 -1.841 6.695
In -6.996 -4.801 11.732
In -2.690 -1.660 0.815
CELL_PARAMETERS angstrom
-2.500 -2.213 -2.397
2.280 -3.345 0.711
-9.576 -3.682 13.390
```

**Calculated total energy**: -59.5 eV per cell
**Total magnetization**: 0.00 μB/f.u.



6.
TiInTeN2 after structural relaxation. Source: Alexandria via LeMat-Bulk, functional PBE-GGA. Values from VASP.

```
&SYSTEM
  ibrav = 0, nat = 5, ntyp = 4
/
ATOMIC_SPECIES
In 114.82 In.upf
Te 127.60 Te.upf
N 14.01 N.upf
Ti 47.87 Ti.upf
ATOMIC_POSITIONS angstrom
In 0.000 0.000 0.000
Te -2.864 -0.739 -0.417
N 0.541 -1.171 -1.640
N -0.242 1.648 -1.256
Ti -2.565 -0.262 -3.313
CELL_PARAMETERS angstrom
-0.484 3.295 -2.513
1.082 -2.342 -3.279
-5.728 -1.477 -0.834
```

**Calculated total energy**: -23.3 eV per cell
**Total magnetization**: 0.00 μB/f.u.



7.
TlInTeN2 after structural relaxation. Source: Alexandria via LeMat-Bulk, functional PBE-GGA. Values from VASP.

```
&SYSTEM
  ibrav = 0, nat = 5, ntyp = 4
/
ATOMIC_SPECIES
N 14.01 N.upf
In 114.82 In.upf
Tl 204.38 Tl.upf
Te 127.60 Te.upf
ATOMIC_POSITIONS angstrom
N 2.224 0.000 0.000
N 0.000 2.224 0.000
In 0.000 0.000 0.000
Tl 2.224 2.224 3.070
Te 0.000 0.000 3.070
CELL_PARAMETERS angstrom
4.447 0.000 0.000
0.000 4.447 0.000
0.000 0.000 6.141
```

**Calculated total energy**: -18.7 eV per cell
**Total magnetization**: 3.26 μB/f.u.
**Relative energy among the computed polymorphs**: 0.00 eV per formula unit



8.
TlInTeN2 after structural relaxation. Source: Alexandria via LeMat-Bulk, functional PBE-GGA. Values from VASP.

```
&SYSTEM
  ibrav = 0, nat = 5, ntyp = 4
/
ATOMIC_SPECIES
In 114.82 In.upf
N 14.01 N.upf
Tl 204.38 Tl.upf
Te 127.60 Te.upf
ATOMIC_POSITIONS angstrom
In -1.111 -2.864 3.266
N 1.397 -1.663 0.556
N -1.643 -1.490 -0.326
Tl 0.000 0.000 0.000
Te -0.865 0.289 3.037
CELL_PARAMETERS angstrom
-3.287 -2.980 -0.653
2.795 -3.326 1.112
-1.730 0.577 6.074
```

**Calculated total energy**: -17.1 eV per cell
**Total magnetization**: 3.10 μB/f.u.
**Relative energy among the computed polymorphs**: 1.55 eV per formula unit



9.
UInTeN after structural relaxation. Source: Alexandria via LeMat-Bulk, functional PBE-GGA. Values from VASP.

```
&SYSTEM
  ibrav = 0, nat = 8, ntyp = 4
/
ATOMIC_SPECIES
In 114.82 In.upf
N 14.01 N.upf
Te 127.60 Te.upf
U 238.03 U.upf
ATOMIC_POSITIONS angstrom
In 3.000 1.000 5.818
In 1.000 3.000 5.818
N 1.000 3.000 0.000
N 3.000 1.000 0.000
Te 1.000 1.000 8.764
Te 3.000 3.000 2.872
U 3.000 3.000 10.537
U 1.000 1.000 1.099
CELL_PARAMETERS angstrom
4.000 0.000 0.000
0.000 4.000 0.000
0.000 0.000 11.636
```

**Calculated total energy**: -57.7 eV per cell
**Total magnetization**: 1.47 μB/f.u.



10.
InTeWN2 after structural relaxation. Source: Alexandria via LeMat-Bulk, functional PBE-GGA. Values from VASP.

```
&SYSTEM
  ibrav = 0, nat = 5, ntyp = 4
/
ATOMIC_SPECIES
W 183.84 W.upf
Te 127.60 Te.upf
N 14.01 N.upf
In 114.82 In.upf
ATOMIC_POSITIONS angstrom
W 2.228 2.863 2.899
Te 2.704 2.401 0.062
N -1.175 1.296 1.088
N 0.700 -0.834 1.749
In 0.000 0.000 0.000
CELL_PARAMETERS angstrom
-2.351 2.591 2.176
1.400 -1.667 3.498
5.407 4.801 0.124
```

**Calculated total energy**: -24.6 eV per cell
**Total magnetization**: 6.42 μB/f.u.
**Relative energy among the computed polymorphs**: 8.84 eV per formula unit



11.
InTeWN2 after structural relaxation. Source: Alexandria via LeMat-Bulk, functional PBE-GGA. Values from VASP.

```
&SYSTEM
  ibrav = 0, nat = 5, ntyp = 4
/
ATOMIC_SPECIES
N 14.01 N.upf
Te 127.60 Te.upf
In 114.82 In.upf
W 183.84 W.upf
ATOMIC_POSITIONS angstrom
N 0.000 2.019 0.000
N 2.019 0.000 0.000
Te 0.000 0.000 2.850
In 2.019 2.019 2.850
W 0.000 0.000 0.000
CELL_PARAMETERS angstrom
4.039 0.000 0.000
0.000 4.039 0.000
0.000 0.000 5.700
```

**Calculated total energy**: -33.5 eV per cell
**Total magnetization**: 0.00 μB/f.u.
**Relative energy among the computed polymorphs**: 0.00 eV per formula unit



12.
YInTe2N after structural relaxation. Source: Alexandria via LeMat-Bulk, functional PBE-GGA. Values from VASP.

```
&SYSTEM
  ibrav = 0, nat = 5, ntyp = 4
/
ATOMIC_SPECIES
In 114.82 In.upf
N 14.01 N.upf
Te 127.60 Te.upf
Y 88.91 Y.upf
ATOMIC_POSITIONS angstrom
In -1.137 -0.078 4.708
N 0.166 1.793 0.951
Te -2.742 -0.479 1.381
Te 1.440 -1.392 2.376
Y 0.000 0.000 0.000
CELL_PARAMETERS angstrom
-5.485 -0.957 2.763
2.880 -2.785 4.752
0.332 3.587 1.901
```

**Calculated total energy**: -23.4 eV per cell
**Total magnetization**: 0.00 μB/f.u.
**Relative energy among the computed polymorphs**: 0.00 eV per formula unit



Number 1: DOS at the Fermi energy 0.368 states/eV/atom. Number 2: DOS at the Fermi energy 0.544 states/eV/atom. Number 3: DOS at the Fermi energy 0.897 states/eV/atom. Number 4: DOS at the Fermi energy 0.380 states/eV/atom. Number 5: DOS at the Fermi energy 0.590 states/eV/atom. Number 6: DOS at the Fermi energy 1.427 states/eV/atom. Number 7: DOS at the Fermi energy 0.576 states/eV/atom. Number 8: DOS at the Fermi energy 0.469 states/eV/atom. Number 9: DOS at the Fermi energy 1.504 states/eV/atom. Number 10: DOS at the Fermi energy 0.738 states/eV/atom. Number 11: DOS at the Fermi energy 0.547 states/eV/atom. Number 12: DOS at the Fermi energy 0.979 states/eV/atom.